[1]
Material: PmCu4Ge2
Method: DFT, PBE
State: relaxed

Calculated values
**Energy relative to the elements**: -0.318 eV per atom
**Total energy**: -4.656 eV per atom
**N(E_F)**: 8.2 states/eV per cell

abc: 7.4849 7.4849 3.9797
angles: 90.00 90.00 90.00
With the nearest neighbours (Å) after each atom.
Space group P4_2/mnm (No. 136)
Inequivalent atoms, fractional coordinates:
1 Pm 0.0000 0.0000 0.0000 [2 per cell]  6 Ge 3.00-3.04, 12 Cu 3.29-3.34
2 Cu 0.0883 0.3470 0.5000 [8 per cell]  3 Ge 2.48-2.51, 6 Cu 2.64-2.74
3 Ge 0.2169 0.7831 0.5000 [4 per cell]  6 Cu 2.48-2.51

[2]
Material: RbTlPb
Method: DFT, PBE
State: relaxed

Calculated values
**Energy relative to the elements**: 0.323 eV per atom
**Total energy**: -2.024 eV per atom
**N(E_F)**: 4.8 states/eV per cell

abc: 6.5090 6.5090 11.4108
angles: 90.00 90.00 120.00
With the nearest neighbours (Å) after each atom.
Space group P6_3/mmc (No. 194)
Inequivalent atoms, fractional coordinates:
1 Rb 0.3333 0.6667 0.2500 [2 per cell]  3 Tl 3.76
2 Tl 0.0000 0.0000 0.2500 [2 per cell]  2 Pb 2.85
3 Pb 0.0000 0.0000 0.0000 [2 per cell]  2 Tl 2.85

[3]
Material: AlSi2Ru
Method: DFT, PBE
State: relaxed

Calculated values
**Total energy**: -5.596 eV per atom
**N(E_F)**: 8.8 states/eV per cell

abc: 5.8111 5.8111 10.0622
angles: 90.00 90.00 90.00
With the nearest neighbours (Å) after each atom.
Space group I-42d (No. 122)
Inequivalent atoms, fractional coordinates:
1 Al 0.0000 0.0000 0.0000 [4 per cell]  4 Si 2.53
2 Si 0.2157 0.2500 0.6250 [8 per cell]  2 Ru 2.29, 2 Al 2.53
3 Ru 0.0000 0.0000 0.5000 [4 per cell]  4 Si 2.29

[4]
Material: BPS2N
Method: DFT, PBE
State: relaxed

Calculated values
**Total energy**: -3.927 eV per atom
**N(E_F)**: 3.6 states/eV per cell

abc: 3.9783 3.9783 4.2404
angles: 90.00 90.00 90.00
With the nearest neighbours (Å) after each atom.
Space group P4/mmm (No. 123)
Inequivalent atoms, fractional coordinates:
1 B 0.0000 0.0000 0.0000 [1 per cell]  4 S 1.99, 2 P 2.12
2 P 0.0000 0.0000 0.5000 [1 per cell]  2 B 2.12
3 S 0.0000 0.5000 0.0000 [2 per cell]  2 B 1.99
4 N 0.5000 0.5000 0.5000 [1 per cell]  4 P 2.81, 8 S 2.91

[5]
Material: Sr2CaTl
Method: DFT, PBE
State: relaxed

Calculated values
**Energy relative to the elements**: -0.110 eV per atom
**Total energy**: -2.043 eV per atom
**N(E_F)**: 13.7 states/eV per cell

abc: 8.4811 8.4811 8.4811
angles: 90.00 90.00 90.00
With the nearest neighbours (Å) after each atom.
Space group F-43m (No. 216)
Inequivalent atoms, fractional coordinates:
1 Sr 0.0000 0.0000 0.0000 [4 per cell]  4 Ca 3.67, 4 Sr 3.67
2 Sr 0.2500 0.2500 0.2500 [4 per cell]  4 Sr 3.67, 4 Tl 3.67
3 Ca 0.2500 0.2500 0.7500 [4 per cell]  4 Tl 3.67, 4 Sr 3.67
4 Tl 0.0000 0.0000 0.5000 [4 per cell]  4 Sr 3.67, 4 Ca 3.67

[6]
Material: Pm4Bi2PbSe
Method: DFT, PBE
State: relaxed

Calculated values
**Total energy**: -5.296 eV per atom
**N(E_F)**: 1.5 states/eV per cell

abc: 7.7701 4.4719 7.7862
angles: 90.00 109.32 90.00
With the nearest neighbours (Å) after each atom.
Space group P2/m (No. 10)
Inequivalent atoms, fractional coordinates:
1 Pm 0.2442 0.0000 0.2400 [2 per cell]  2 Se 3.12, 1 Pb 3.15, 3 Bi 3.20-3.22
2 Pm 0.2470 0.5000 0.7573 [2 per cell]  1 Se 3.11, 2 Pb 3.16, 3 Bi 3.19-3.24
3 Bi 0.0000 0.0000 0.5000 [1 per cell]  6 Pm 3.19-3.20
4 Bi 0.5000 0.5000 0.5000 [1 per cell]  6 Pm 3.22-3.24
5 Pb 0.5000 0.0000 0.0000 [1 per cell]  6 Pm 3.15-3.16
6 Se 0.0000 0.5000 0.0000 [1 per cell]  6 Pm 3.11-3.12

[7]
Material: InTe2P
Method: DFT, PBE
State: relaxed

Calculated values
**Total energy**: -3.492 eV per atom
**N(E_F)**: 4.7 states/eV per cell

abc: 6.0379 8.5476 5.1366
angles: 90.00 125.19 90.00
With the nearest neighbours (Å) after each atom.
Space group C2/m (No. 12)
Inequivalent atoms, fractional coordinates:
1 In 0.0000 0.0000 0.0000 [2 per cell]  4 Te 3.00, 2 P 3.02
2 Te 0.2500 0.2500 0.5000 [4 per cell]  2 In 3.00, 2 P 3.00, 2 Te 3.02
3 P 0.0000 0.5000 0.0000 [2 per cell]  4 Te 3.00, 2 In 3.02

[8]
Material: InMo
Method: DFT, PBE
State: relaxed

Calculated values
**Energy relative to the elements**: 0.497 eV per atom
**Total energy**: -6.288 eV per atom
**N(E_F)**: 5.6 states/eV per cell

abc: 4.4488 4.4488 9.6311
angles: 90.00 90.00 120.00
With the nearest neighbours (Å) after each atom.
Space group P6_3/mmc (No. 194)
Inequivalent atoms, fractional coordinates:
1 In 0.3333 0.6667 0.0818 [4 per cell]  4 In 3.01-3.24, 7 Mo 3.04-3.20
2 Mo 0.0000 0.0000 0.2500 [2 per cell]  3 Mo 2.57
3 Mo 0.3333 0.6667 0.7500 [2 per cell]  3 Mo 2.57

[9]
Material: Nd2DyCo2
Method: DFT, PBE
State: relaxed

Calculated values
**Energy relative to the elements**: 0.002 eV per atom
**Total energy**: -5.668 eV per atom
**N(E_F)**: 5.7 states/eV per cell

abc: 11.9498 5.4211 4.1658
angles: 90.00 110.32 90.00
With the nearest neighbours (Å) after each atom.
Space group C2/m (No. 12)
Inequivalent atoms, fractional coordinates:
1 Nd 0.1761 0.0000 0.1768 [4 per cell]  4 Co 2.74-2.91
2 Dy 0.0000 0.5000 0.5000 [2 per cell]  4 Co 2.63
3 Co 0.1429 0.5000 0.1425 [4 per cell]  2 Dy 2.63, 4 Nd 2.74-2.91

[10]
Material: Na4TlBr2
Method: DFT, PBE
State: relaxed

Calculated values
**Total energy**: -2.077 eV per atom
**N(E_F)**: 8.2 states/eV per cell

abc: 5.9896 5.9896 15.6040
angles: 90.00 90.00 90.00
With the nearest neighbours (Å) after each atom.
Space group I4/mmm (No. 139)
Inequivalent atoms, fractional coordinates:
1 Na 0.0000 0.0000 0.1984 [4 per cell]  1 Br 2.73
2 Na 0.0000 0.5000 0.0000 [4 per cell]  2 Tl 2.99
3 Tl 0.0000 0.0000 0.0000 [2 per cell]  6 Na 2.99-3.10
4 Br 0.0000 0.0000 0.3734 [4 per cell]  1 Na 2.73

[11]
Material: FeNi6Pd2
Method: DFT, PBE
State: relaxed

Calculated values
**Energy relative to the elements**: 0.127 eV per atom
**Total energy**: -5.821 eV per atom
**N(E_F)**: 21.4 states/eV per cell

abc: 8.3552 4.8170 5.6488
angles: 90.00 90.16 90.00
With the nearest neighbours (Å) after each atom.
Space group C2/m (No. 12)
Inequivalent atoms, fractional coordinates:
1 Fe 0.0000 0.0000 0.0000 [2 per cell]  6 Ni 2.36
2 Ni 0.0855 0.2571 0.6685 [8 per cell]  6 Ni 2.34-2.48, 1 Fe 2.36
3 Ni 0.1717 0.0000 0.3322 [4 per cell]  6 Ni 2.34-2.48, 1 Fe 2.36
4 Pd 0.1667 0.5000 0.0908 [4 per cell]  9 Ni 2.74-2.77, 3 Fe 2.83, 3 Pd 2.97

[12]
Material: Na2In2Pb
Method: DFT, PBE
State: relaxed

Calculated values
**Energy relative to the elements**: -0.047 eV per atom
**Total energy**: -2.412 eV per atom
**N(E_F)**: 4.6 states/eV per cell

abc: 8.5052 8.5052 3.9481
angles: 90.00 90.00 90.00
With the nearest neighbours (Å) after each atom.
Space group P4/mbm (No. 127)
Inequivalent atoms, fractional coordinates:
1 Na 0.1733 0.3267 0.0000 [4 per cell]  6 In 3.11-3.25
2 In 0.1268 0.6268 0.5000 [4 per cell]  1 In 3.05, 6 Na 3.11-3.25, 2 Pb 3.35
3 Pb 0.0000 0.0000 0.5000 [2 per cell]  4 In 3.35, 8 Na 3.71